No. 1
First-principles (PBE) data for a geometry-optimized TiReAs2Se structure, as listed in Alexandria.

Geometry as CIF:
```
data_TiReAs2Se
_chemical_formula_sum 'Ti1 Re1 As2 Se1'
_cell_length_a 4.894
_cell_length_b 4.894
_cell_length_c 4.776
_cell_angle_alpha 90.00
_cell_angle_beta 90.00
_cell_angle_gamma 90.00
_space_group_name_H-M_alt 'P 1'
_space_group_IT_number 1
loop_
_space_group_symop_operation_xyz
'x,y,z'
loop_
_atom_site_label
_atom_site_type_symbol
_atom_site_fract_x
_atom_site_fract_y
_atom_site_fract_z
Ti1 Ti 0.000 0.000 0.000
Re1 Re 0.500 0.500 0.500
As1 As 0.000 0.500 0.000
As2 As 0.500 0.000 0.000
Se1 Se 0.000 0.000 0.500
```

Calculated values
- Total DFT energy (no corrections): -5.6462 eV per atom
- Formation energy (no corrections): 0.98 eV/atom
- Relative energy among the computed polymorphs: 213 meV per atom

---

No. 2
First-principles (PBE) data for a geometry-optimized LaSiIr2 structure, as listed in Alexandria.

Geometry as CIF:
```
data_LaSiIr2
_chemical_formula_sum 'La1 Si1 Ir2'
_cell_length_a 4.893
_cell_length_b 4.893
_cell_length_c 4.893
_cell_angle_alpha 126.75
_cell_angle_beta 126.75
_cell_angle_gamma 78.66
_space_group_name_H-M_alt 'P 1'
_space_group_IT_number 1
loop_
_space_group_symop_operation_xyz
'x,y,z'
loop_
_atom_site_label
_atom_site_type_symbol
_atom_site_fract_x
_atom_site_fract_y
_atom_site_fract_z
La1 La 0.000 0.000 0.000
Si1 Si 0.500 0.500 0.000
Ir1 Ir 0.250 0.750 0.500
Ir2 Ir 0.750 0.250 0.500
```

Calculated values
- Total DFT energy (no corrections): -7.2097 eV per atom
- Formation energy (no corrections): -0.19 eV/atom

---

No. 3
First-principles (PBE) data for a geometry-optimized TlCr2Ge2 structure, as listed in Alexandria.

Geometry as CIF:
```
data_TlCr2Ge2
_chemical_formula_sum 'Tl1 Cr2 Ge2'
_cell_length_a 6.583
_cell_length_b 6.583
_cell_length_c 6.583
_cell_angle_alpha 147.66
_cell_angle_beta 147.66
_cell_angle_gamma 46.39
_space_group_name_H-M_alt 'P 1'
_space_group_IT_number 1
loop_
_space_group_symop_operation_xyz
'x,y,z'
loop_
_atom_site_label
_atom_site_type_symbol
_atom_site_fract_x
_atom_site_fract_y
_atom_site_fract_z
Tl1 Tl 0.000 0.000 0.000
Cr1 Cr 0.400 0.400 0.000
Cr2 Cr 0.600 0.600 0.000
Ge1 Ge 0.250 0.750 0.500
Ge2 Ge 0.750 0.250 0.500
```

Calculated values
- Total DFT energy (no corrections): -5.7210 eV per atom
- Energy of formation: 0.449 eV per atom
- Relative energy among the computed polymorphs: 131 meV per atom

---

No. 4
First-principles (PBE) data for a geometry-optimized Tl3In7Sn structure, as listed in Alexandria.

Geometry as CIF:
```
data_Tl3In7Sn
_chemical_formula_sum 'Tl3 In7 Sn1'
_cell_length_a 7.474
_cell_length_b 7.474
_cell_length_c 6.464
_cell_angle_alpha 105.81
_cell_angle_beta 105.81
_cell_angle_gamma 98.32
_space_group_name_H-M_alt 'P 1'
_space_group_IT_number 1
loop_
_space_group_symop_operation_xyz
'x,y,z'
loop_
_atom_site_label
_atom_site_type_symbol
_atom_site_fract_x
_atom_site_fract_y
_atom_site_fract_z
Tl1 Tl 0.000 0.000 0.000
Tl2 Tl 0.297 0.788 0.724
Tl3 Tl 0.788 0.297 0.724
In1 In 0.230 0.509 0.074
In2 In 0.310 0.310 0.585
In3 In 0.431 0.938 0.330
In4 In 0.509 0.230 0.074
In5 In 0.645 0.645 0.533
In6 In 0.938 0.431 0.330
In7 In 0.959 0.959 0.469
Sn1 Sn 0.665 0.665 0.031
```

Calculated values
- Total DFT energy (no corrections): -2.6921 eV per atom
- Energy of formation: 0.060 eV per atom

---

No. 5
First-principles (PBE) data for a geometry-optimized SbAs2Pb structure, as listed in Alexandria.

Geometry as CIF:
```
data_SbAs2Pb
_chemical_formula_sum 'Sb1 As2 Pb1'
_cell_length_a 6.318
_cell_length_b 6.318
_cell_length_c 6.318
_cell_angle_alpha 140.67
_cell_angle_beta 140.67
_cell_angle_gamma 56.83
_space_group_name_H-M_alt 'P 1'
_space_group_IT_number 1
loop_
_space_group_symop_operation_xyz
'x,y,z'
loop_
_atom_site_label
_atom_site_type_symbol
_atom_site_fract_x
_atom_site_fract_y
_atom_site_fract_z
Sb1 Sb 0.000 0.000 0.000
As1 As 0.250 0.750 0.500
As2 As 0.500 0.500 0.000
Pb1 Pb 0.750 0.250 0.500
```

Calculated values
- Total DFT energy (no corrections): -3.9811 eV per atom
- Formation energy (no corrections): 0.30 eV/atom
- Relative energy among the computed polymorphs: 268 meV per atom

---

No. 6
First-principles (PBE) data for a geometry-optimized KRbI2O structure, as listed in Alexandria.

Geometry as CIF:
```
data_KRbI2O
_chemical_formula_sum 'K1 Rb1 I2 O1'
_cell_length_a 6.925
_cell_length_b 6.925
_cell_length_c 5.515
_cell_angle_alpha 90.00
_cell_angle_beta 90.00
_cell_angle_gamma 90.00
_space_group_name_H-M_alt 'P 1'
_space_group_IT_number 1
loop_
_space_group_symop_operation_xyz
'x,y,z'
loop_
_atom_site_label
_atom_site_type_symbol
_atom_site_fract_x
_atom_site_fract_y
_atom_site_fract_z
K1 K 0.000 0.000 0.000
Rb1 Rb 0.500 0.500 0.500
I1 I 0.000 0.500 0.500
I2 I 0.500 0.000 0.500
O1 O 0.500 0.500 0.000
```

Calculated values
- Total DFT energy (no corrections): -2.5344 eV per atom
- Formation energy (no corrections): -0.51 eV/atom
- Relative energy among the computed polymorphs: 98 meV per atom

---

No. 7
First-principles (PBE) data for a geometry-optimized Tm2Si4W3 structure, as listed in Alexandria.

Geometry as CIF:
```
data_Tm2Si4W3
_chemical_formula_sum 'Tm4 Si8 W6'
_cell_length_a 6.804
_cell_length_b 6.880
_cell_length_c 6.717
_cell_angle_alpha 90.00
_cell_angle_beta 108.89
_cell_angle_gamma 90.00
_space_group_name_H-M_alt 'P 1'
_space_group_IT_number 1
loop_
_space_group_symop_operation_xyz
'x,y,z'
loop_
_atom_site_label
_atom_site_type_symbol
_atom_site_fract_x
_atom_site_fract_y
_atom_site_fract_z
Tm1 Tm 0.190 0.170 0.061
Tm2 Tm 0.190 0.330 0.561
Tm3 Tm 0.810 0.670 0.439
Tm4 Tm 0.810 0.830 0.939
Si1 Si 0.088 0.544 0.864
Si2 Si 0.088 0.956 0.364
Si3 Si 0.497 0.632 0.628
Si4 Si 0.497 0.868 0.128
Si5 Si 0.503 0.132 0.872
Si6 Si 0.503 0.368 0.372
Si7 Si 0.912 0.044 0.636
Si8 Si 0.912 0.456 0.136
W1 W 0.249 0.660 0.248
W2 W 0.249 0.840 0.748
W3 W 0.500 0.000 0.500
W4 W 0.500 0.500 0.000
W5 W 0.751 0.160 0.252
W6 W 0.751 0.340 0.752
```

Calculated values
- Total DFT energy (no corrections): -8.2828 eV per atom
- Formation energy (no corrections): -0.56 eV/atom

---

No. 8
First-principles (PBE) data for a geometry-optimized CsPuF6 structure, as listed in Alexandria.

Geometry as CIF:
```
data_CsPuF6
_chemical_formula_sum 'Cs1 Pu1 F6'
_cell_length_a 6.602
_cell_length_b 6.602
_cell_length_c 6.602
_cell_angle_alpha 53.92
_cell_angle_beta 53.92
_cell_angle_gamma 53.92
_space_group_name_H-M_alt 'P 1'
_space_group_IT_number 1
loop_
_space_group_symop_operation_xyz
'x,y,z'
loop_
_atom_site_label
_atom_site_type_symbol
_atom_site_fract_x
_atom_site_fract_y
_atom_site_fract_z
Cs1 Cs 0.000 0.000 0.000
Pu1 Pu 0.500 0.500 0.500
F1 F 0.105 0.589 0.589
F2 F 0.411 0.411 0.895
F3 F 0.411 0.895 0.411
F4 F 0.589 0.105 0.589
F5 F 0.589 0.589 0.105
F6 F 0.895 0.411 0.411
```

Calculated values
- Total DFT energy (no corrections): -6.4474 eV per atom
- Formation energy (no corrections): -3.15 eV/atom
- Relative energy among the computed polymorphs: 32 meV per atom